# Se2S2O7 (PBE, relaxed)
data_Se2S2O7
_symmetry_space_group_name_H-M 'P 1 21/c 1'
_symmetry_Int_Tables_number 14
_symmetry_space_group_name_Hall '-P 2ybc'
_cell_length_a 7.742
_cell_length_b 6.344
_cell_length_c 17.784
_cell_angle_alpha 90.00
_cell_angle_beta 112.14
_cell_angle_gamma 90.00
loop_
_atom_site_label
_atom_site_fract_x
_atom_site_fract_y
_atom_site_fract_z
Se1 0.089 0.199 0.062
Se2 0.203 0.545 0.494
S1 0.223 0.642 0.245
S2 0.393 0.592 0.887
O1 0.098 0.557 0.281
O2 0.134 0.696 0.159
O3 0.243 0.632 0.917
O4 0.296 0.628 0.786
O5 0.387 0.507 0.262
O6 0.450 0.125 0.392
O7 0.457 0.248 0.583
# Excess energy over the best structure of this formula in the dataset   0.000 eV per formula unit



The following is a DFT calculation (PBE) of a relaxed SeSO4 crystal.

```
data_SeSO4
_symmetry_space_group_name_H-M 'P 1 2/c 1'
_symmetry_Int_Tables_number 13
_symmetry_space_group_name_Hall '-P 2yc'
_cell_length_a 4.990
_cell_length_b 7.825
_cell_length_c 6.960
_cell_angle_alpha 90.00
_cell_angle_beta 121.23
_cell_angle_gamma 90.00
loop_
_atom_site_label
_atom_site_fract_x
_atom_site_fract_y
_atom_site_fract_z
Se1 0.000 0.092 0.250
S1 0.500 0.244 0.750
O1 0.245 0.108 0.579
O2 0.373 0.331 0.865
```



no.,E_tot (eV per atom),ΔE_f (raw) (meV per atom)
1,-5.344,-804
2,-5.214,-640